No. 1
Computed, not measured: a relaxed CeNd3Dy8 crystal at the PBE level of DFT.

Lattice parameters (Å, degrees): 8.7142 8.7142 11.3180 90.00 90.00 90.00
Space group I-42m (No. 121)
One atom of each set of equivalent atoms:
Ce  0.0000  0.0000  0.0000 x2
Nd  0.0000  0.0000  0.5000 x2
Nd  0.0000  0.5000  0.2500 x4
Dy  0.1242  0.1242  0.2366 x8
Dy  0.2329  0.2329  0.9716 x8

Output
energy of formation from the pure elements: 7.1 eV/f.u.
density of states at the Fermi level: 38.281 states/eV/cell

=====

No. 2
Computed, not measured: a relaxed CeNdDy4 crystal at the PBE level of DFT.

Lattice parameters (Å, degrees): 6.1855 3.5551 8.7136 90.00 90.04 90.00
Space group P2/m (No. 10)
One atom of each set of equivalent atoms:
Ce  0.0000  0.0000  0.0000 x1
Nd  0.5000  0.5000  0.0000 x1
Dy  0.1642  0.5000  0.6681 x2
Dy  0.3294  0.0000  0.3365 x2

Output
energy of formation from the pure elements: 0.3 eV/f.u.
density of states at the Fermi level: 11.426 states/eV/cell

=====

No. 3
Computed, not measured: a relaxed CeNd4Dy3 crystal at the PBE level of DFT.

Lattice parameters (Å, degrees): 23.6720 3.4523 6.8882 90.00 106.82 90.00
Space group C2/m (No. 12)
One atom of each set of equivalent atoms:
Ce  0.0000  0.0000  0.0000 x2
Nd  0.1221  0.5000  0.3638 x4
Nd  0.2416  0.0000  0.2362 x4
Dy  0.0000  0.5000  0.5000 x2
Dy  0.1226  0.5000  0.8814 x4

Output
energy of formation from the pure elements: 1.5 eV/f.u.
density of states at the Fermi level: 31.435 states/eV/cell

=====

Magnetization, record by record: 0.00, 0.84, 0.89 μB/f.u.
Mass density, record by record: 7.24, 8.10, 7.42 g/cm3